Entry from Alexandria: crystalline Pu2AlGa3Pt4 at its relaxed geometry (PBE).

a b c (Å): 4.142 4.142 11.015
angles (deg): 90.00 90.00 90.00
Fractional coordinates of all 10 atoms:
Pu (0.500, 0.000, 0.251)
Pu (0.000, 0.500, 0.749)
Al (0.500, 0.500, 0.500)
Ga (0.000, 0.000, 0.500)
Ga (0.500, 0.000, 0.865)
Ga (0.000, 0.500, 0.135)
Pt (0.500, 0.500, 0.000)
Pt (0.000, 0.000, 0.000)
Pt (0.500, 0.000, 0.637)
Pt (0.000, 0.500, 0.363)

Output
As for the calculated density: 13.22 Mg/m³. The total energy is -7.363 eV per atom. The total magnetization comes out at 10.81 μB per formula unit.